A relaxed structure of Rb2NiPdRu. Source: the Alexandria database, functional PBE.

Lattice parameters (Å, degrees): 6.4088 6.4088 4.3900 90.00 90.00 90.00
Closest atoms and distances in Å follow each position.
Atoms (fractional coordinates):
Rb 0.0000 0.5000 0.0000  2 Ru 3.20
Rb 0.5000 0.0000 0.0000  2 Ru 3.20
Ni 0.0000 0.0000 0.5000  2 Ru 2.19
Pd 0.5000 0.5000 0.5000  8 Rb 3.88
Ru 0.0000 0.0000 0.0000  2 Ni 2.19

- DFT formation energy: 6.3 eV/f.u.
- Density: 4.03 g cm⁻³
- Density of states at the Fermi level: 4.756 states/eV per cell
- E: -15.87 eV per cell
- Total magnetization: 1.584 μB/cell
- Crystal system: tetragonal

A relaxed structure of RbNiPdS2. Source: the Alexandria database, functional PBE.

Lattice parameters (Å, degrees): 6.6640 6.6640 7.0778 90.00 90.00 131.76
Closest atoms and distances in Å follow each position.
Atoms (fractional coordinates):
Rb 0.2500 0.7500 0.7594  6 S 3.43-3.77, 2 Pd 3.55, 4 Ni 3.74
Rb 0.7500 0.2500 0.2406  6 S 3.43-3.77, 2 Pd 3.55, 4 Ni 3.74
Ni 0.2500 0.2500 0.0000  4 S 2.21
Ni 0.7500 0.7500 0.0000  4 S 2.21
Pd 0.0000 0.0000 0.5000  2 S 2.30
Pd 0.5000 0.5000 0.5000  2 S 2.30
S 0.0792 0.9208 0.2044  2 Ni 2.21, 1 Pd 2.30
S 0.4208 0.5792 0.2044  2 Ni 2.21, 1 Pd 2.30
S 0.5792 0.4208 0.7956  2 Ni 2.21, 1 Pd 2.30
S 0.9208 0.0792 0.7956  2 Ni 2.21, 1 Pd 2.30

- Density: 4.46 g cm⁻³
- Density of states at the Fermi level: 5.776 states/eV per cell
- E: -45.72 eV per cell
- Total magnetization: 0.000 μB/cell
- Crystal system: orthorhombic

A relaxed structure of Rb2NiPdSe4. Source: the Alexandria database, functional PBE.

Lattice parameters (Å, degrees): 13.1221 11.5066 7.5441 84.34 60.76 34.90
Closest atoms and distances in Å follow each position.
Atoms (fractional coordinates):
Rb 0.0624 0.0624 0.6876  8 Se 3.44-3.78
Rb 0.3124 0.3124 0.9376  8 Se 3.44-3.78
Rb 0.6876 0.6876 0.0624  8 Se 3.44-3.78
Rb 0.9376 0.9376 0.3124  8 Se 3.44-3.78
Ni 0.3750 0.3750 0.3750  4 Se 2.32
Ni 0.6250 0.6250 0.6250  4 Se 2.32
Pd 0.1250 0.1250 0.1250  4 Se 2.50
Pd 0.8750 0.8750 0.8750  4 Se 2.50
Se 0.0047 0.3724 0.4298  1 Ni 2.32, 1 Pd 2.50
Se 0.3069 0.5702 0.6276  1 Ni 2.32, 1 Pd 2.50
Se 0.3724 0.0047 0.6931  1 Ni 2.32, 1 Pd 2.50
Se 0.4298 0.6931 0.0047  1 Ni 2.32, 1 Pd 2.50
Se 0.5702 0.3069 0.9953  1 Ni 2.32, 1 Pd 2.50
Se 0.6276 0.9953 0.3069  1 Ni 2.32, 1 Pd 2.50
Se 0.6931 0.4298 0.3724  1 Ni 2.32, 1 Pd 2.50
Se 0.9953 0.6276 0.5702  1 Ni 2.32, 1 Pd 2.50

- Density: 4.78 g cm⁻³
- Density of states at the Fermi level: 9.851 states/eV per cell
- E: -62.56 eV per cell
- Total magnetization: 0.001 μB/cell
- Crystal system: orthorhombic

A relaxed structure of RbNiPdSe2. Source: the Alexandria database, functional PBE.

Lattice parameters (Å, degrees): 3.7342 4.2171 7.2214 90.00 90.00 90.00
Closest atoms and distances in Å follow each position.
Atoms (fractional coordinates):
Rb 0.0000 0.0000 0.0000  8 Se 3.51, 2 Rb 3.73
Ni 0.0000 0.5000 0.5000  4 Se 2.41
Pd 0.5000 0.0000 0.5000  4 Se 2.60, 4 Ni 2.82
Se 0.5000 0.5000 0.2892  2 Ni 2.41, 2 Pd 2.60
Se 0.5000 0.5000 0.7108  2 Ni 2.41, 2 Pd 2.60

- Density: 5.96 g cm⁻³
- Density of states at the Fermi level: 4.716 states/eV per cell
- E: -21.57 eV per cell
- Total magnetization: 0.372 μB/cell
- Crystal system: orthorhombic

A relaxed structure of Re2NiPd. Source: the Alexandria database, functional PBE.

Lattice parameters (Å, degrees): 6.6754 6.6754 6.6754 132.04 132.04 70.17
Closest atoms and distances in Å follow each position.
Atoms (fractional coordinates):
Re 0.0969 0.6250 0.9719  2 Ni 2.27, 2 Pd 2.45
Re 0.3750 0.3469 0.4719  2 Ni 2.27, 2 Pd 2.45
Re 0.6531 0.1250 0.0281  2 Ni 2.27, 2 Pd 2.45
Re 0.8750 0.9031 0.5281  2 Ni 2.27, 2 Pd 2.45
Ni 0.0000 0.0000 0.0000  4 Re 2.27
Ni 0.7500 0.2500 0.5000  4 Re 2.27
Pd 0.2500 0.7500 0.5000  4 Re 2.45
Pd 0.5000 0.5000 0.0000  4 Re 2.45

- DFT formation energy: 6.8 eV/f.u.
- Density: 11.10 g cm⁻³
- Density of states at the Fermi level: 7.112 states/eV per cell
- Excess energy over the best structure of this formula in the dataset: 1560.3 meV/atom
- E: -58.08 eV per cell
- Total magnetization: 0.000 μB/cell
- Crystal system: tetragonal

A relaxed structure of ReNi2Pd. Source: the Alexandria database, functional PBE.

Lattice parameters (Å, degrees): 8.6223 8.6223 8.6223 17.93 17.93 17.93
Closest atoms and distances in Å follow each position.
Atoms (fractional coordinates):
Re 0.0000 0.0000 0.0000  6 Ni 2.58, 6 Re 2.69
Ni 0.2523 0.2523 0.2523  3 Re 2.58, 3 Pd 2.67, 6 Ni 2.69
Ni 0.7477 0.7477 0.7477  3 Re 2.58, 3 Pd 2.67, 6 Ni 2.69
Pd 0.5000 0.5000 0.5000  6 Ni 2.67, 6 Pd 2.69

- DFT formation energy: 0.2 eV/f.u.
- Density: 12.83 g cm⁻³
- Density of states at the Fermi level: 5.886 states/eV per cell
- Excess energy over the best structure of this formula in the dataset: 71.3 meV/atom
- E: -29.00 eV per cell
- Total magnetization: 0.387 μB/cell
- Crystal system: trigonal